{"formula": "Ca2CoCu3Ge4", "functional": "PBE", "state": "relaxed", "lattice_angstrom": [[4.161, 0.000, 0.000], [0.000, 4.161, 0.000], [0.000, 0.000, 10.097]], "species": ["Ca", "Ca", "Co", "Cu", "Cu", "Cu", "Ge", "Ge", "Ge", "Ge"], "fractional_positions": [[0.000, 0.500, 0.245], [0.500, 0.000, 0.755], [0.500, 0.500, 0.000], [0.000, 0.000, 0.000], [0.000, 0.500, 0.638], [0.500, 0.000, 0.362], [0.000, 0.000, 0.500], [0.000, 0.500, 0.879], [0.500, 0.000, 0.121], [0.500, 0.500, 0.500]], "energy_ev_per_cell": -45.3, "space_group": "No. 115"}

***

{"formula": "MgFe2RhC", "functional": "PBE", "state": "relaxed", "lattice_angstrom": [[3.812, 0.000, 0.000], [0.000, 3.812, 0.000], [0.000, 0.000, 4.138]], "species": ["Mg", "Fe", "Fe", "Rh", "C"], "fractional_positions": [[0.000, 0.000, 0.000], [0.000, 0.500, 0.500], [0.500, 0.000, 0.500], [0.500, 0.500, 0.000], [0.500, 0.500, 0.500]], "energy_ev_per_cell": -35.5, "space_group": "No. 123"}

***

{"formula": "Tb2TmGe3", "functional": "PBE", "state": "relaxed", "lattice_angstrom": [[4.141, 0.000, 0.000], [0.000, 5.854, 0.000], [0.000, 0.000, 12.410]], "species": ["Tb", "Tb", "Tb", "Tb", "Tm", "Tm", "Ge", "Ge", "Ge", "Ge", "Ge", "Ge"], "fractional_positions": [[0.000, 0.000, 0.168], [0.000, 0.000, 0.832], [0.500, 0.500, 0.332], [0.500, 0.500, 0.668], [0.000, 0.000, 0.500], [0.500, 0.500, 0.000], [0.000, 0.500, 0.164], [0.000, 0.500, 0.500], [0.000, 0.500, 0.836], [0.500, 0.000, 0.000], [0.500, 0.000, 0.336], [0.500, 0.000, 0.664]], "energy_ev_per_cell": -63.0, "space_group": "No. 71"}